Compound: TaV2FeO8
Source: Alexandria
Functional: GGA+U
Structure: relaxed

The density comes out at 6.097 Mg/m³. The total energy is -95.46 eV/cell. The magnetic moment comes out at 3.000 μB/f.u.

abc: 4.6388 4.6388 5.9069
angles: 90.00 90.00 90.11
With the nearest neighbours (Å) after each atom.
Element x y z (fractional)
Ta: 0.0000 0.0000 0.0000  6 O 1.98-2.02
V: 0.5000 0.5000 0.2652  6 O 1.91-2.01
V: 0.5000 0.5000 0.7348  6 O 1.91-2.01
Fe: 0.0000 0.0000 0.5000  6 O 1.97
O: 0.2011 0.2011 0.2510  1 V 1.96, 1 Fe 1.97, 1 Ta 1.98
O: 0.2011 0.2011 0.7490  1 V 1.96, 1 Fe 1.97, 1 Ta 1.98
O: 0.3001 0.6999 0.5000  2 V 1.91, 1 Fe 1.97
O: 0.3079 0.6921 0.0000  2 V 2.01, 1 Ta 2.02
O: 0.6921 0.3079 0.0000  2 V 2.01, 1 Ta 2.02
O: 0.6999 0.3001 0.5000  2 V 1.91, 1 Fe 1.97
O: 0.7989 0.7989 0.2510  1 V 1.96, 1 Fe 1.97, 1 Ta 1.98
O: 0.7989 0.7989 0.7490  1 V 1.96, 1 Fe 1.97, 1 Ta 1.98